No. 1
This record from Alexandria describes a relaxed NiSbI2Cl crystal. The functional is GGA-PBE.

Cell lengths 5.195, 5.195, 5.116 Å; angles 90.00, 90.00, 90.00 degrees
Space group P4/mmm (No. 123)
Symmetry-distinct sites (fractional):
Ni: 0.000 0.000 0.000 x1
Sb: 0.000 0.000 0.500 x1
I: 0.000 0.500 0.000 x2
Cl: 0.500 0.500 0.500 x1

E (hartree per atom): -0.1028
DOS(E_F) (states/eV/f.u.): 4.920

***

No. 2
This record from Alexandria describes a relaxed YNiSb2 crystal. The functional is GGA-PBE.

Cell lengths 3.917, 4.496, 10.201 Å; angles 90.00, 90.00, 90.00 degrees
Space group Imm2 (No. 44)
Symmetry-distinct sites (fractional):
Y: 0.000 0.000 0.000 x2
Ni: 0.000 0.500 0.217 x2
Sb: 0.000 0.000 0.542 x2
Sb: 0.000 0.500 0.768 x2

E (hartree per atom): -0.2023
DOS(E_F) (states/eV/f.u.): 2.377

***

No. 3
This record from Alexandria describes a relaxed KTlMo2 crystal. The functional is GGA-PBE.

Cell lengths 8.707, 2.972, 8.077 Å; angles 90.00, 93.08, 90.00 degrees
Space group Cm (No. 8)
Symmetry-distinct sites (fractional):
K: 0.000 0.000 0.000 x2
Tl: 0.248 0.500 0.327 x2
Mo: 0.234 0.000 0.659 x2
Mo: 0.485 0.000 0.578 x2

DOS(E_F) (states/eV/f.u.): 2.374
ΔH_f (0 K) (eV per atom): 0.8357

***

No. 4
This record from Alexandria describes a relaxed PrGdHoSn crystal. The functional is GGA-PBE.

Cell lengths 7.778, 7.778, 7.778 Å; angles 90.00, 90.00, 90.00 degrees
Space group F-43m (No. 216)
Symmetry-distinct sites (fractional):
Pr: 0.000 0.000 0.000 x4
Gd: 0.000 0.000 0.500 x4
Ho: 0.250 0.250 0.250 x4
Sn: 0.250 0.250 0.750 x4

DOS(E_F) (states/eV/f.u.): 4.519
ΔH_f (0 K) (eV per atom): -0.2643

***

No. 5
This record from Alexandria describes a relaxed Li4Mg2CdAg crystal. The functional is GGA-PBE.

Cell lengths 5.301, 5.795, 9.970 Å; angles 90.00, 90.00, 90.00 degrees
Space group I222 (No. 23)
Symmetry-distinct sites (fractional):
Li: 0.244 0.112 0.246 x8
Mg: 0.000 0.253 0.500 x4
Cd: 0.000 0.500 0.000 x2
Ag: 0.000 0.000 0.000 x2

DOS(E_F) (states/eV/f.u.): 2.442
ΔH_f (0 K) (eV per atom): -0.1093

***

No. 6
This record from Alexandria describes a relaxed Sc2CrTc crystal. The functional is GGA-PBE.

Cell lengths 2.981, 4.271, 5.621 Å; angles 90.00, 99.67, 90.00 degrees
Space group P2/m (No. 10)
Symmetry-distinct sites (fractional):
Sc: 0.216 0.000 0.258 x2
Cr: 0.500 0.500 0.000 x1
Tc: 0.000 0.500 0.500 x1

DOS(E_F) (states/eV/f.u.): 4.107
ΔH_f (0 K) (eV per atom): 0.1889

***

No. 7
This record from Alexandria describes a relaxed LaPmRuRh crystal. The functional is GGA-PBE.

Cell lengths 7.082, 7.082, 7.082 Å; angles 90.00, 90.00, 90.00 degrees
Space group F-43m (No. 216)
Symmetry-distinct sites (fractional):
La: 0.000 0.000 0.000 x4
Pm: 0.000 0.000 0.500 x4
Ru: 0.250 0.250 0.750 x4
Rh: 0.250 0.250 0.250 x4

DOS(E_F) (states/eV/f.u.): 2.934
ΔH_f (0 K) (eV per atom): -0.3763

***

No. 8
This record from Alexandria describes a relaxed IrRhAu2 crystal. The functional is GGA-PBE.

Cell lengths 2.8187, 2.8187, 28.2736 Å; angles 90.00, 90.00, 120.00 degrees
Space group R3m (No. 160, hexagonal axes)
Symmetry-distinct sites (fractional):
Ir: 0.0000 0.0000 0.0000 x3
Rh: 0.0000 0.0000 0.7406 x3
Au: 0.0000 0.0000 0.2483 x3
Au: 0.0000 0.0000 0.4915 x3

DOS(E_F) (states/eV/f.u.): 4.825
ΔH_f (0 K) (eV per atom): 0.1719

***

- Look up the DOS(E_F) of the fifth one.
  2.442 states/eV/f.u.

***

- What is the DOS(E_F) in the fifth record?
  2.442 states/eV/f.u.

***

- Which value of DOS(E_F) does entry 1 give?
  4.920 states/eV/f.u.